TlPCl3: relaxed, GGA-PBE. Values from VASP.

```
&SYSTEM
  ibrav = 0, nat = 5, ntyp = 3
/
ATOMIC_SPECIES
Tl 204.38 Tl.upf
Cl 35.45 Cl.upf
P 30.97 P.upf
ATOMIC_POSITIONS crystal
Tl 0.500 0.500 0.500
Cl 0.000 0.000 0.500
Cl 0.000 0.500 0.000
Cl 0.500 0.000 0.000
P 0.000 0.000 0.000
CELL_PARAMETERS angstrom
-0.412 1.563 -4.763
-5.001 0.197 0.497
0.341 4.777 1.538
```

Summary:
* space-group type: Pm-3m, No. 221
* E above lowest polymorph: 0.275 eV/atom
* formation energy from raw total energies: -455 meV/atom
* density: 4.46 g/cm³
* density of states at the Fermi level: 1.663 states/eV/f.u.
* magnetization: 0.00 μB per formula unit



AcTbY6: relaxed, GGA-PBE. Values from VASP.

```
&SYSTEM
  ibrav = 0, nat = 8, ntyp = 3
/
ATOMIC_SPECIES
Y 88.91 Y.upf
Tb 158.93 Tb.upf
Ac 227.00 Ac.upf
ATOMIC_POSITIONS crystal
Y 0.458 0.245 0.340
Y 0.043 0.542 0.170
Y 0.245 0.043 0.254
Y 0.755 0.957 0.746
Y 0.542 0.755 0.660
Y 0.957 0.458 0.830
Tb 0.000 0.000 0.000
Ac 0.500 0.500 0.500
CELL_PARAMETERS angstrom
8.715 0.643 -0.095
4.878 8.486 -0.053
4.185 3.263 3.857
```

Summary:
* space-group type: P-1, No. 2
* energy: -5.7912 eV/atom
* density: 5.52 g/cm³
* density of states at the Fermi level: 14.794 states/eV/f.u.
* magnetization: 0.00 μB per formula unit



Pm4PrAu: relaxed, GGA-PBE. Values from VASP.

```
&SYSTEM
  ibrav = 0, nat = 12, ntyp = 3
/
ATOMIC_SPECIES
Pm 145.00 Pm.upf
Pr 140.91 Pr.upf
Au 196.97 Au.upf
ATOMIC_POSITIONS crystal
Pm 0.742 0.554 0.484
Pm 0.665 0.076 0.330
Pm 0.526 0.289 0.053
Pm 0.474 0.789 0.947
Pm 0.258 0.054 0.516
Pm 0.930 0.428 0.859
Pm 0.070 0.928 0.141
Pm 0.335 0.576 0.670
Pr 0.133 0.426 0.266
Pr 0.867 0.926 0.734
Au 0.608 0.660 0.215
Au 0.392 0.160 0.785
CELL_PARAMETERS angstrom
-0.117 5.284 1.319
-2.802 -1.512 5.810
9.972 -3.556 3.884
```

Summary:
* space-group type: Cmc2_1, No. 36
* energy: -4.6575 eV/atom
* density: 7.72 g/cm³
* density of states at the Fermi level: 7.711 states/eV/f.u.
* magnetization: 0.00 μB per formula unit



CoNiSbTe2: relaxed, GGA-PBE. Values from VASP.

```
&SYSTEM
  ibrav = 0, nat = 5, ntyp = 4
/
ATOMIC_SPECIES
Sb 121.76 Sb.upf
Te 127.60 Te.upf
Co 58.93 Co.upf
Ni 58.69 Ni.upf
ATOMIC_POSITIONS crystal
Sb 0.000 0.000 0.500
Te 0.000 0.500 0.000
Te 0.500 0.000 0.000
Co 0.500 0.500 0.500
Ni 0.000 0.000 0.000
CELL_PARAMETERS angstrom
-2.201 4.178 1.785
1.308 -1.317 4.695
4.107 2.369 -0.480
```

Summary:
* space-group type: P4/mmm, No. 123
* E above lowest polymorph: 0.135 eV/atom
* formation energy from raw total energies: 852 meV/atom
* density: 6.76 g/cm³
* density of states at the Fermi level: 5.990 states/eV/f.u.
* magnetization: 0.00 μB per formula unit